! CaU6N8 (PBE, relaxed); values from VASP
&SYSTEM
  ibrav = 0, nat = 15, ntyp = 3
/
ATOMIC_SPECIES
Ca 40.08 Ca.upf
U 238.03 U.upf
N 14.01 N.upf
CELL_PARAMETERS angstrom
4.662 2.691 2.922
-4.662 2.691 2.922
0.000 -5.383 2.922
ATOMIC_POSITIONS crystal
Ca 0.000 0.000 0.000
U 0.119 0.271 0.562
U 0.271 0.562 0.119
U 0.438 0.881 0.729
U 0.562 0.119 0.271
U 0.729 0.438 0.881
U 0.881 0.729 0.438
N 0.097 0.635 0.776
N 0.224 0.903 0.365
N 0.361 0.361 0.361
N 0.365 0.224 0.903
N 0.635 0.776 0.097
N 0.639 0.639 0.639
N 0.776 0.097 0.635
N 0.903 0.365 0.224
! Energy relative to the elements, uncorrected   -1114 meV per atom
! Fermi-level density of states   22.35 states/eV per cell
! DFT total energy   -10.203 eV/atom
! Calculated volume   220 Å³/f.u.
! Spin magnetization   10.0 μB/f.u.